(1)
Below is Dy2HPt6 after structural relaxation, with properties calculated at the PBE level.

Cell lengths 5.862, 5.862, 5.862 Å; angles 60.00, 60.00, 60.00 degrees
Sites, in units of the cell vectors:
Dy: 0.250 0.250 0.250
Dy: 0.750 0.750 0.750
H: 0.000 0.000 0.000
Pt: 0.252 0.252 0.748
Pt: 0.252 0.748 0.252
Pt: 0.252 0.748 0.748
Pt: 0.748 0.252 0.252
Pt: 0.748 0.252 0.748
Pt: 0.748 0.748 0.252

Output
Space group: Fm-3m (225)
Final energy: -6.3332 eV per atom
ρ: 17.45 g/cm3

***

(2)
Below is AgAu5 after structural relaxation, with properties calculated at the PBE level.

Cell lengths 6.604, 6.604, 4.160 Å; angles 90.00, 90.00, 143.49 degrees
Sites, in units of the cell vectors:
Ag: 0.000 0.000 0.000
Au: 0.166 0.834 0.500
Au: 0.334 0.666 0.000
Au: 0.500 0.500 0.500
Au: 0.666 0.334 0.000
Au: 0.834 0.166 0.500

Output
Space group: Cmmm (65)
Distance to the lowest polymorph of the same formula: 0 meV/atom
Energy of formation: -22 meV per atom
Final energy: -3.2284 eV per atom
ρ: 16.81 g/cm3

***

(3)
Below is As3PAu after structural relaxation, with properties calculated at the PBE level.

Cell lengths 4.998, 4.998, 4.998 Å; angles 90.00, 90.00, 90.00 degrees
Sites, in units of the cell vectors:
As: 0.000 0.000 0.500
As: 0.000 0.500 0.000
As: 0.500 0.000 0.000
P: 0.500 0.500 0.500
Au: 0.000 0.000 0.000

Output
Space group: Pm-3m (221)
Distance to the lowest polymorph of the same formula: 406 meV/atom
Energy of formation: 1187 meV per atom
Final energy: -3.3401 eV per atom
ρ: 6.02 g/cm3

***

(4)
Below is Ba2ScMnSe5 after structural relaxation, with properties calculated at the PBE level.

Cell lengths 9.578, 9.578, 13.229 Å; angles 90.00, 90.00, 154.62 degrees
Sites, in units of the cell vectors:
Ba: 0.126 0.874 0.500
Ba: 0.127 0.873 0.865
Ba: 0.873 0.127 0.365
Ba: 0.874 0.126 0.000
Sc: 0.202 0.798 0.200
Sc: 0.798 0.202 0.700
Mn: 0.437 0.563 0.607
Mn: 0.563 0.437 0.107
Se: 0.047 0.953 0.200
Se: 0.302 0.698 0.833
Se: 0.310 0.690 0.556
Se: 0.341 0.659 0.183
Se: 0.496 0.504 0.448
Se: 0.504 0.496 0.948
Se: 0.659 0.341 0.683
Se: 0.690 0.310 0.056
Se: 0.698 0.302 0.333
Se: 0.953 0.047 0.700

Output
Space group: Cmc2_1 (36)
Energy relative to the elements, uncorrected: -1495.2 meV/atom
Final energy: -5.5807 eV per atom
ρ: 4.91 g/cm3

***

(5)
Below is SiSeO2F after structural relaxation, with properties calculated at the PBE level.

Cell lengths 3.941, 3.941, 4.461 Å; angles 90.00, 90.00, 90.00 degrees
Sites, in units of the cell vectors:
Si: 0.000 0.000 0.000
Se: 0.500 0.500 0.500
O: 0.000 0.500 0.500
O: 0.500 0.000 0.500
F: 0.500 0.500 0.000

Output
Space group: P4/mmm (123)
Energy relative to the elements, uncorrected: -103.5 meV/atom
Final energy: -4.2426 eV per atom
ρ: 3.79 g/cm3

***

(6)
Below is SmNiBIr after structural relaxation, with properties calculated at the PBE level.

Cell lengths 5.190, 5.190, 5.190 Å; angles 138.19, 136.30, 62.08 degrees
Sites, in units of the cell vectors:
Sm: 0.000 0.000 0.000
Ni: 0.346 0.346 0.000
B: 0.755 0.255 0.500
Ir: 0.648 0.648 0.000

Output
Space group: Imm2 (44)
Energy of formation: -374 meV per atom
Final energy: -6.8834 eV per atom
ρ: 10.75 g/cm3

***

no.,M_tot (μB per formula unit)
1,0.00
2,0.00
3,0.00
4,4.00
5,0.28
6,0.00